# 1
Pm3ErMg4 | GGA-PBE | relaxed

The structure in CIF format:
```
data_Pm3ErMg4
_chemical_formula_sum 'Pm6 Er2 Mg8'
_cell_length_a 10.8382
_cell_length_b 7.7009
_cell_length_c 5.4198
_cell_angle_alpha 90.00
_cell_angle_beta 90.00
_cell_angle_gamma 90.00
_space_group_name_H-M_alt 'P m m a'
_space_group_IT_number 51
loop_
_space_group_symop_operation_xyz
'x,y,z'
'-x,-y,-z'
'-x+1/2,-y,z'
'x+1/2,y,-z'
'x+1/2,-y,-z'
'-x+1/2,y,z'
'-x,y,-z'
'x,-y,z'
loop_
_atom_site_label
_atom_site_type_symbol
_atom_site_fract_x
_atom_site_fract_y
_atom_site_fract_z
Pm1 Pm 0.0000 0.0000 0.0000
Pm2 Pm 0.2500 0.0000 0.4973
Pm3 Pm 0.2500 0.5000 0.4972
Er1 Er 0.0000 0.5000 0.0000
Mg1 Mg 0.0000 0.2553 0.5000
Mg2 Mg 0.2500 0.2554 0.9963
```

M_tot in μB per formula unit: 0.0
Final energy in eV/atom: -3.25
Formation enthalpy at 0 K in eV per atom: -0.0973
Crystal system: orthorhombic


# 2
Pm2ErMg2 | GGA-PBE | relaxed

The structure in CIF format:
```
data_Pm2ErMg2
_chemical_formula_sum 'Pm4 Er2 Mg4'
_cell_length_a 5.2342
_cell_length_b 6.9917
_cell_length_c 8.2437
_cell_angle_alpha 90.00
_cell_angle_beta 90.00
_cell_angle_gamma 90.00
_space_group_name_H-M_alt 'I m m m'
_space_group_IT_number 71
_space_group_name_Hall '-I 2 2'
loop_
_atom_site_label
_atom_site_type_symbol
_atom_site_fract_x
_atom_site_fract_y
_atom_site_fract_z
Pm1 Pm 0.0000 0.0000 0.1950
Er1 Er 0.0000 0.5000 0.0000
Mg1 Mg 0.0000 0.2906 0.5000
```

M_tot in μB per formula unit: 0.0
Final energy in eV/atom: -3.41
Formation enthalpy at 0 K in eV per atom: 0.0442
Crystal system: orthorhombic
Energy above the lowest structure with this stoichiometry in eV/atom: 0.108


# 3
Pm3Er4Mg4 | GGA-PBE | relaxed

The structure in CIF format:
```
data_Pm3Er4Mg4
_chemical_formula_sum 'Pm6 Er8 Mg8'
_cell_length_a 5.4619
_cell_length_b 6.9909
_cell_length_c 17.4040
_cell_angle_alpha 90.00
_cell_angle_beta 90.00
_cell_angle_gamma 90.00
_space_group_name_H-M_alt 'I m m m'
_space_group_IT_number 71
_space_group_name_Hall '-I 2 2'
loop_
_atom_site_label
_atom_site_type_symbol
_atom_site_fract_x
_atom_site_fract_y
_atom_site_fract_z
Pm1 Pm 0.0000 0.0000 0.0000
Pm2 Pm 0.0000 0.5000 0.1101
Er1 Er 0.0000 0.2617 0.3139
Mg1 Mg 0.0000 0.0000 0.1729
Mg2 Mg 0.0000 0.2167 0.5000
```

M_tot in μB per formula unit: 0.0
Final energy in eV/atom: -3.43
Formation enthalpy at 0 K in eV per atom: 0.1016
Crystal system: orthorhombic


# 4
Pm2Er6Mg | GGA-PBE | relaxed

The structure in CIF format:
```
data_Pm2Er6Mg
_chemical_formula_sum 'Pm2 Er6 Mg1'
_cell_length_a 3.5328
_cell_length_b 3.5328
_cell_length_c 25.9358
_cell_angle_alpha 90.00
_cell_angle_beta 90.00
_cell_angle_gamma 120.00
_space_group_name_H-M_alt 'P -6 m 2'
_space_group_IT_number 187
_space_group_name_Hall 'P -6 2'
loop_
_atom_site_label
_atom_site_type_symbol
_atom_site_fract_x
_atom_site_fract_y
_atom_site_fract_z
Pm1 Pm 0.0000 0.0000 0.1732
Er1 Er 0.0000 0.0000 0.3956
Er2 Er 0.6667 0.3333 0.0637
Er3 Er 0.6667 0.3333 0.2889
Mg1 Mg 0.6667 0.3333 0.5000
```

M_tot in μB per formula unit: 0.1
Final energy in eV/atom: -4.20
Formation enthalpy at 0 K in eV per atom: 0.0781
Crystal system: hexagonal
Energy above the lowest structure with this stoichiometry in eV/atom: 0.051


# 5
PmEr4Mg | GGA-PBE | relaxed

The structure in CIF format:
```
data_PmEr4Mg
_chemical_formula_sum 'Pm4 Er16 Mg4'
_cell_length_a 10.3002
_cell_length_b 12.9203
_cell_length_c 6.4959
_cell_angle_alpha 90.00
_cell_angle_beta 122.72
_cell_angle_gamma 90.00
_space_group_name_H-M_alt 'C 1 2/c 1'
_space_group_IT_number 15
loop_
_space_group_symop_operation_xyz
'x,y,z'
'-x,-y,-z'
'-x,y,-z+1/2'
'x,-y,z+1/2'
'x+1/2,y+1/2,z'
'-x+1/2,-y+1/2,-z'
'-x+1/2,y+1/2,-z+1/2'
'x+1/2,-y+1/2,z+1/2'
loop_
_atom_site_label
_atom_site_type_symbol
_atom_site_fract_x
_atom_site_fract_y
_atom_site_fract_z
Pm1 Pm 0.0000 0.1594 0.2500
Er1 Er 0.1596 0.4281 0.2309
Er2 Er 0.1663 0.3092 0.7400
Mg1 Mg 0.0000 0.0926 0.7500
```

M_tot in μB per formula unit: 0.0
Final energy in eV/atom: -4.05
Formation enthalpy at 0 K in eV per atom: 0.0543
Crystal system: monoclinic
Energy above the lowest structure with this stoichiometry in eV/atom: 0.060


# 6
PmEr2Mg | GGA-PBE | relaxed

The structure in CIF format:
```
data_PmEr2Mg
_chemical_formula_sum 'Pm8 Er16 Mg8'
_cell_length_a 7.1772
_cell_length_b 7.1846
_cell_length_c 18.4968
_cell_angle_alpha 90.00
_cell_angle_beta 90.00
_cell_angle_gamma 90.00
_space_group_name_H-M_alt 'F m m m'
_space_group_IT_number 69
_space_group_name_Hall '-F 2 2'
loop_
_atom_site_label
_atom_site_type_symbol
_atom_site_fract_x
_atom_site_fract_y
_atom_site_fract_z
Pm1 Pm 0.0000 0.0000 0.1293
Er1 Er 0.0000 0.0000 0.3667
Er2 Er 0.2500 0.2500 0.0000
Mg1 Mg 0.2500 0.2500 0.2500
```

M_tot in μB per formula unit: 0.0
Final energy in eV/atom: -3.90
Formation enthalpy at 0 K in eV per atom: -0.0281
Crystal system: orthorhombic
Energy above the lowest structure with this stoichiometry in eV/atom: 0.000


# 7
Pm2Er7Mg | GGA-PBE | relaxed

The structure in CIF format:
```
data_Pm2Er7Mg
_chemical_formula_sum 'Pm4 Er14 Mg2'
_cell_length_a 8.5937
_cell_length_b 16.8052
_cell_length_c 5.1566
_cell_angle_alpha 90.00
_cell_angle_beta 90.00
_cell_angle_gamma 90.00
_space_group_name_H-M_alt 'C m m m'
_space_group_IT_number 65
_space_group_name_Hall '-C 2 2'
loop_
_atom_site_label
_atom_site_type_symbol
_atom_site_fract_x
_atom_site_fract_y
_atom_site_fract_z
Pm1 Pm 0.0000 0.2042 0.0000
Er1 Er 0.0000 0.0000 0.0000
Er2 Er 0.0000 0.3033 0.5000
Er3 Er 0.1782 0.3962 0.0000
Mg1 Mg 0.0000 0.5000 0.5000
```

M_tot in μB per formula unit: 0.0
Final energy in eV/atom: -3.63
Formation enthalpy at 0 K in eV per atom: 0.6779
Crystal system: orthorhombic


# 8
Pm15Er2Mg2 | GGA-PBE | relaxed

The structure in CIF format:
```
data_Pm15Er2Mg2
_chemical_formula_sum 'Pm45 Er6 Mg6'
_cell_length_a 11.2538
_cell_length_b 11.2538
_cell_length_c 17.6226
_cell_angle_alpha 90.00
_cell_angle_beta 90.00
_cell_angle_gamma 120.00
_space_group_name_H-M_alt 'R -3 m'
_space_group_IT_number 166
_space_group_name_Hall '-R 3 2"'
loop_
_atom_site_label
_atom_site_type_symbol
_atom_site_fract_x
_atom_site_fract_y
_atom_site_fract_z
Pm1 Pm 0.0000 0.2969 0.0000
Pm2 Pm 0.0000 0.5000 0.5000
Pm3 Pm 0.0175 0.5088 0.1390
Er1 Er 0.0000 0.0000 0.3159
Mg1 Mg 0.0000 0.0000 0.0928
```

M_tot in μB per formula unit: 0.0
Final energy in eV/atom: -4.17
Formation enthalpy at 0 K in eV per atom: 0.2318
Crystal system: trigonal


# 9
Pm7ErMg4 | GGA-PBE | relaxed

The structure in CIF format:
```
data_Pm7ErMg4
_chemical_formula_sum 'Pm14 Er2 Mg8'
_cell_length_a 15.3617
_cell_length_b 5.8320
_cell_length_c 9.7866
_cell_angle_alpha 90.00
_cell_angle_beta 121.22
_cell_angle_gamma 90.00
_space_group_name_H-M_alt 'C 1 2/m 1'
_space_group_IT_number 12
loop_
_space_group_symop_operation_xyz
'x,y,z'
'-x,-y,-z'
'-x,y,-z'
'x,-y,z'
'x+1/2,y+1/2,z'
'-x+1/2,-y+1/2,-z'
'-x+1/2,y+1/2,-z'
'x+1/2,-y+1/2,z'
loop_
_atom_site_label
_atom_site_type_symbol
_atom_site_fract_x
_atom_site_fract_y
_atom_site_fract_z
Pm1 Pm 0.0000 0.0000 0.0000
Pm2 Pm 0.0818 0.5000 0.4256
Pm3 Pm 0.1969 0.5000 0.8779
Pm4 Pm 0.2477 0.0000 0.7124
Er1 Er 0.0000 0.5000 0.0000
Mg1 Mg 0.0388 0.0000 0.6945
Mg2 Mg 0.1746 0.0000 0.3446
```

M_tot in μB per formula unit: 0.0
Final energy in eV/atom: -3.55
Formation enthalpy at 0 K in eV per atom: 0.1345
Crystal system: monoclinic


# 10
PmEr2Mg2 | GGA-PBE | relaxed

The structure in CIF format:
```
data_PmEr2Mg2
_chemical_formula_sum 'Pm2 Er4 Mg4'
_cell_length_a 3.7293
_cell_length_b 5.4622
_cell_length_c 14.0503
_cell_angle_alpha 90.00
_cell_angle_beta 97.64
_cell_angle_gamma 90.00
_space_group_name_H-M_alt 'P 1 21/m 1'
_space_group_IT_number 11
loop_
_space_group_symop_operation_xyz
'x,y,z'
'-x,-y,-z'
'-x,y+1/2,-z'
'x,-y+1/2,z'
loop_
_atom_site_label
_atom_site_type_symbol
_atom_site_fract_x
_atom_site_fract_y
_atom_site_fract_z
Pm1 Pm 0.1513 0.2500 0.3022
Er1 Er 0.0445 0.7500 0.0888
Er2 Er 0.2373 0.7500 0.4751
Mg1 Mg 0.3603 0.2500 0.7197
Mg2 Mg 0.4480 0.7500 0.8970
```

M_tot in μB per formula unit: 0.0
Final energy in eV/atom: -3.48
Formation enthalpy at 0 K in eV per atom: -0.0630
Crystal system: monoclinic
Energy above the lowest structure with this stoichiometry in eV/atom: 0.000


# 11
Pm3Er3Mg2 | GGA-PBE | relaxed

The structure in CIF format:
```
data_Pm3Er3Mg2
_chemical_formula_sum 'Pm12 Er12 Mg8'
_cell_length_a 5.3303
_cell_length_b 11.7389
_cell_length_c 15.6971
_cell_angle_alpha 90.00
_cell_angle_beta 90.00
_cell_angle_gamma 90.00
_space_group_name_H-M_alt 'C m c m'
_space_group_IT_number 63
_space_group_name_Hall '-C 2c 2'
loop_
_atom_site_label
_atom_site_type_symbol
_atom_site_fract_x
_atom_site_fract_y
_atom_site_fract_z
Pm1 Pm 0.0000 0.0384 0.1038
Pm2 Pm 0.0000 0.2473 0.2500
Er1 Er 0.0000 0.3551 0.0349
Er2 Er 0.0000 0.4770 0.7500
Mg1 Mg 0.0000 0.2303 0.6444
```

M_tot in μB per formula unit: 0.0
Final energy in eV/atom: -3.83
Formation enthalpy at 0 K in eV per atom: 0.0654
Crystal system: orthorhombic


# 12
PmEr5Mg3 | GGA-PBE | relaxed

The structure in CIF format:
```
data_PmEr5Mg3
_chemical_formula_sum 'Pm4 Er20 Mg12'
_cell_length_a 10.8035
_cell_length_b 8.0506
_cell_length_c 13.1032
_cell_angle_alpha 90.00
_cell_angle_beta 98.03
_cell_angle_gamma 90.00
_space_group_name_H-M_alt 'C 1 2/m 1'
_space_group_IT_number 12
loop_
_space_group_symop_operation_xyz
'x,y,z'
'-x,-y,-z'
'-x,y,-z'
'x,-y,z'
'x+1/2,y+1/2,z'
'-x+1/2,-y+1/2,-z'
'-x+1/2,y+1/2,-z'
'x+1/2,-y+1/2,z'
loop_
_atom_site_label
_atom_site_type_symbol
_atom_site_fract_x
_atom_site_fract_y
_atom_site_fract_z
Pm1 Pm 0.0527 0.0000 0.2599
Er1 Er 0.0000 0.3224 0.0000
Er2 Er 0.0443 0.5000 0.2469
Er3 Er 0.1880 0.2235 0.6632
Er4 Er 0.2306 0.5000 0.8797
Mg1 Mg 0.0000 0.0000 0.0000
Mg2 Mg 0.0000 0.0000 0.5000
Mg3 Mg 0.1384 0.5000 0.4829
Mg4 Mg 0.2265 0.0000 0.8801
```

M_tot in μB per formula unit: 0.0
Final energy in eV/atom: -3.30
Formation enthalpy at 0 K in eV per atom: 0.2946
Crystal system: monoclinic